{
  "formula": "PtBr3",
  "functional": "GGA-PBE",
  "state": "optimized geometry",
  "lattice": [[-11.872, -6.396, 2.660], [10.125, -8.141, -4.489], [3.768, 9.393, 9.302]],
  "species": ["Br", "Br", "Br", "Br", "Br", "Br", "Br", "Br", "Br", "Br", "Br", "Br", "Br", "Br", "Br", "Br", "Br", "Br", "Br", "Br", "Br", "Br", "Br", "Br", "Br", "Br", "Br", "Br", "Br", "Br", "Br", "Br", "Br", "Br", "Br", "Br", "Pt", "Pt", "Pt", "Pt", "Pt", "Pt", "Pt", "Pt", "Pt", "Pt", "Pt", "Pt"],
  "fractional_positions": [[0.250, 0.176, 0.665], [0.176, 0.665, 0.250], [0.665, 0.250, 0.176], [0.750, 0.824, 0.335], [0.824, 0.335, 0.750], [0.335, 0.750, 0.824], [0.429, 0.587, 0.935], [0.587, 0.935, 0.429], [0.935, 0.429, 0.587], [0.571, 0.413, 0.065], [0.413, 0.065, 0.571], [0.065, 0.571, 0.413], [0.298, 0.224, 0.398], [0.398, 0.298, 0.224], [0.224, 0.398, 0.298], [0.702, 0.776, 0.602], [0.602, 0.702, 0.776], [0.776, 0.602, 0.702], [0.826, 0.099, 0.074], [0.074, 0.826, 0.099], [0.099, 0.074, 0.826], [0.174, 0.901, 0.926], [0.926, 0.174, 0.901], [0.901, 0.926, 0.174], [0.667, 0.010, 0.251], [0.251, 0.667, 0.010], [0.010, 0.251, 0.667], [0.333, 0.990, 0.749], [0.749, 0.333, 0.990], [0.990, 0.749, 0.333], [0.637, 0.476, 0.861], [0.861, 0.637, 0.476], [0.476, 0.861, 0.637], [0.363, 0.524, 0.139], [0.139, 0.363, 0.524], [0.524, 0.139, 0.363], [0.756, 0.183, 0.508], [0.183, 0.508, 0.756], [0.508, 0.756, 0.183], [0.244, 0.817, 0.492], [0.817, 0.492, 0.244], [0.492, 0.244, 0.817], [0.242, 0.064, 0.166], [0.064, 0.166, 0.242], [0.166, 0.242, 0.064], [0.758, 0.936, 0.834], [0.936, 0.834, 0.758], [0.834, 0.758, 0.936]],
  "raw_formation_energy_ev_per_fu": -0.93,
  "crystal_system": "trigonal",
  "total_energy_ev_per_atom": -2.997
}